Entry from OQMD: a relaxed structure of Co3W (PBE-GGA).

Cell and atoms, written as POSCAR:
```
Co3W
1.0
4.949 0.000 0.000
-2.474 4.286 0.000
0.000 0.000 14.907
Co W
18 6
Cartesian
0.000 0.000 1.373
0.000 0.000 6.080
0.000 0.000 8.827
0.000 0.000 13.534
0.000 1.315 3.727
-1.336 3.628 3.727
1.139 0.657 11.180
0.000 2.857 2.067
0.000 2.857 5.386
0.000 2.857 9.868
0.000 2.857 12.493
2.474 1.429 2.415
2.474 1.429 5.039
2.474 1.429 9.521
2.474 1.429 12.840
1.336 3.628 3.727
3.810 0.657 11.180
2.474 2.971 11.180
-1.237 2.143 0.000
-1.237 2.143 7.454
2.474 0.000 0.000
2.474 0.000 7.454
1.237 2.143 0.000
1.237 2.143 7.454
```

- Mass density: 11.36 g cm⁻³
- ΔE_f: 185 kJ/mol of formula units
- Symmetry: P6_3/mmc (194)